[1]
5
Lattice="4.3241 0.0000 0.0000 0.0000 4.3241 0.0000 2.1621 2.1621 7.7909" Properties=species:S:1:pos:R:3 comment="PBE Na2LiPb2, relaxed" sg="I4/mmm, No. 139" formation_enthalpy_0k_mev_per_atom=1 relative_energy_kj_per_mol_atoms=15.33 pbc="T T T"
Pb 4.3241 4.3241 6.3120
Pb 2.1621 2.1621 1.4789
Li 0.0000 0.0000 0.0000
Na 2.1621 4.3241 3.8954
Na 4.3241 2.1621 3.8954

[2]
5
Lattice="5.4233 0.0000 0.0000 0.0000 5.4233 0.0000 0.0000 0.0000 5.4233" Properties=species:S:1:pos:R:3 comment="PBE Na3LiPb, relaxed" sg="Pm-3m, No. 221" formation_enthalpy_0k_mev_per_atom=260 relative_energy_kj_per_mol_atoms=37.95 pbc="T T T"
Na 0.0000 0.0000 2.7117
Na 0.0000 2.7117 0.0000
Na 2.7117 0.0000 0.0000
Li 0.0000 0.0000 0.0000
Pb 2.7117 2.7117 2.7117

[3]
20
Lattice="6.5239 0.0345 -0.6107 -1.0706 8.8492 -1.6783 -0.0196 0.3006 9.0654" Properties=species:S:1:pos:R:3 comment="PBE Na2Li3Pb5, relaxed" sg="C2/c, No. 15" formation_enthalpy_0k_mev_per_atom=-163 pbc="T T T"
Na 5.2175 5.4286 -0.1209
Na 3.0101 7.5801 1.8070
Na 2.4237 1.6041 4.9694
Na 0.2162 3.7556 6.8973
Pb -0.2705 8.5147 0.7584
Pb 1.7224 6.5066 -1.0343
Pb 1.0933 4.5250 3.6143
Pb 3.7113 2.6776 7.8107
Pb 4.3405 4.6592 3.1621
Pb 1.9876 7.5331 4.9853
Pb 3.4461 1.6511 1.7911
Pb 5.7042 0.6695 6.0180
Pb 0.0871 2.4228 1.1050
Pb 5.3466 6.7614 5.6714
Li 5.8622 1.9916 3.4463
Li 2.3102 4.3332 0.7870
Li 3.8519 8.6349 -1.8345
Li 1.5819 0.5494 8.6109
Li 3.1235 4.8510 5.9894
Li -0.4285 7.1926 3.3301